Compound: Ti2ZnCu2
Source: the Alexandria database
Functional: PBE
Structure: relaxed

The calculation puts the formation energy at -13 kJ per mole of atoms. For the excess energy over the best structure of this formula in the dataset, the calculation gives 0.000 eV/atom. As for the total energy: -5.184 eV per atom.

It has space group C2/m (No. 12), with a = 12.8744 Å, b = 4.2403 Å, c = 2.6050 Å, α = 90.00°, β = 90.21° and γ = 90.00°. Symmetry generates all atoms from Ti at (0.1148, 0.0000, 0.4977), Zn at (0.0000, 0.5000, 0.0000) and Cu at (0.1993, 0.5000, 0.9977).